(1)
Here is a relaxed Pm3Dy2Sc crystal from Alexandria. Energies are from PBE-GGA.

abc: 6.3931 8.0129 8.0129
angles: 71.59 90.00 90.00
Sites, in units of the cell vectors:
Dy1 0.4116 0.3938 0.7555
Dy2 0.9116 0.2445 0.6062
Dy3 0.9116 0.6062 0.2445
Dy4 0.4116 0.7555 0.3938
Pm1 0.3924 0.5058 0.1340
Pm2 0.1581 0.0745 0.0745
Pm3 0.6581 0.9255 0.9255
Pm4 0.8924 0.4942 0.8660
Pm5 0.3924 0.1340 0.5058
Pm6 0.8924 0.8660 0.4942
Sc1 0.6920 0.1842 0.1842
Sc2 0.1920 0.8158 0.8158

Computed properties:
distance to the lowest polymorph of the same formula: 202 meV per atom
energy of formation from the pure elements: 0.23 eV per atom

***

(2)
Here is a relaxed Pm2DySc3 crystal from Alexandria. Energies are from PBE-GGA.

abc: 6.6650 6.6650 9.3004
angles: 90.00 90.00 120.00
Sites, in units of the cell vectors:
Sc1 0.1870 0.3740 0.2418
Sc2 0.6260 0.8130 0.2418
Sc3 0.1870 0.8130 0.2418
Sc4 0.3740 0.1870 0.7582
Sc5 0.8130 0.1870 0.7582
Sc6 0.8130 0.6260 0.7582
Pm1 0.0000 0.0000 0.5000
Pm2 0.3333 0.6667 0.5637
Pm3 0.0000 0.0000 0.0000
Pm4 0.6667 0.3333 0.4363
Dy1 0.6667 0.3333 0.0764
Dy2 0.3333 0.6667 0.9236

Computed properties:
distance to the lowest polymorph of the same formula: 58 meV per atom
energy of formation from the pure elements: 0.27 eV per atom

***

(3)
Here is a relaxed PmDySc3 crystal from Alexandria. Energies are from PBE-GGA.

abc: 7.1109 7.7420 6.4470
angles: 102.28 123.47 90.00
Sites, in units of the cell vectors:
Sc1 0.0959 0.3731 0.1918
Sc2 0.9041 0.6269 0.8082
Sc3 0.8519 0.6527 0.2823
Sc4 0.5696 0.3473 0.7177
Sc5 0.4304 0.6527 0.2823
Sc6 0.1481 0.3473 0.7177
Dy1 0.8434 0.9990 0.6869
Dy2 0.1566 0.0010 0.3131
Pm1 0.3943 0.7805 0.7885
Pm2 0.6057 0.2195 0.2115

Computed properties:
distance to the lowest polymorph of the same formula: 142 meV per atom
energy of formation from the pure elements: 0.18 eV per atom

***

(4)
Here is a relaxed PmDy3Sc2 crystal from Alexandria. Energies are from PBE-GGA.

abc: 5.4599 8.6416 8.6416
angles: 111.59 90.00 90.00
Sites, in units of the cell vectors:
Sc1 0.9930 0.5145 0.3015
Sc2 0.4930 0.4855 0.6985
Sc3 0.4930 0.6985 0.4855
Sc4 0.9930 0.3015 0.5145
Pm1 0.4930 0.2695 0.2695
Pm2 0.9930 0.7305 0.7305
Dy1 0.4930 0.1094 0.6306
Dy2 0.4930 0.9051 0.9051
Dy3 0.4930 0.6306 0.1094
Dy4 0.9930 0.0949 0.0949
Dy5 0.9930 0.3694 0.8906
Dy6 0.9930 0.8906 0.3694

Computed properties:
distance to the lowest polymorph of the same formula: 143 meV per atom
energy of formation from the pure elements: 0.30 eV per atom